The following is a DFT calculation (PBE) of crystalline Tm4TeAu at its relaxed geometry.

Cell and atoms, written as extended XYZ:
```
24
Lattice="8.2757 0.0000 0.0000 0.0000 3.8882 0.0000 0.0000 0.0000 19.5522" Properties=species:S:1:pos:R:3 pbc="T T T"
Tm 0.1438 0.9720 1.3977
Tm 0.1705 0.9720 15.3155
Tm 0.9977 0.9720 10.9320
Tm 1.3181 0.9720 6.7530
Tm 2.8198 2.9161 16.5291
Tm 3.1402 2.9161 1.1559
Tm 3.9674 2.9161 5.5394
Tm 3.9941 2.9161 11.1738
Tm 4.2816 0.9720 8.3784
Tm 4.3084 0.9720 14.0128
Tm 5.1355 0.9720 18.3963
Tm 5.4560 0.9720 3.0231
Tm 6.9576 2.9161 12.7992
Tm 7.2781 2.9161 8.6202
Tm 8.1052 2.9161 4.2367
Tm 8.1320 2.9161 18.1545
Te 1.8174 2.9161 13.4221
Te 2.3205 0.9720 3.6460
Te 5.9553 2.9161 15.9062
Te 6.4583 0.9720 6.1301
Au 2.0636 0.9720 18.5889
Au 2.0743 2.9161 8.8128
Au 6.2015 0.9720 10.7394
Au 6.2121 2.9161 0.9633
```


The following is a DFT calculation (PBE) of crystalline TmTe2Au at its relaxed geometry.

Cell and atoms, written as extended XYZ:
```
4
Lattice="4.5197 0.0000 0.0000 2.2594 3.9145 0.0000 0.1193 -0.0396 7.6512" Properties=species:S:1:pos:R:3 pbc="T T T"
Tm 0.0000 0.0000 0.0000
Te 2.2592 1.3050 1.5525
Te 4.6397 2.5702 5.2711
Au 2.3803 1.2654 6.2490
```


The following is a DFT calculation (PBE) of crystalline Tm5Te5Au at its relaxed geometry.

Cell and atoms, written as extended XYZ:
```
11
Lattice="6.8325 -3.0387 0.0000 6.8325 3.0387 0.0000 -2.7320 0.0000 8.0609" Properties=species:S:1:pos:R:3 pbc="T T T"
Tm 0.0000 0.0000 0.0000
Tm 4.2697 0.0000 1.2856
Tm 2.8414 0.0000 5.4835
Tm 8.0917 0.0000 2.5773
Tm 6.6633 0.0000 6.7753
Te 0.0132 0.0000 6.6759
Te 1.5276 0.0000 2.7037
Te 5.4665 0.0000 4.0304
Te 9.4054 0.0000 5.3572
Te 10.9199 0.0000 1.3850
Au 6.8325 0.0000 0.0000
```


The following is a DFT calculation (PBE) of crystalline Tm7Te2Au2 at its relaxed geometry.

Cell and atoms, written as extended XYZ:
```
11
Lattice="5.2637 -3.9627 0.0000 5.2637 3.9627 0.0000 -0.0087 0.0000 7.5607" Properties=species:S:1:pos:R:3 pbc="T T T"
Tm 0.0000 0.0000 0.0000
Tm 2.6277 1.9784 2.1820
Tm 7.8909 -1.9784 5.3786
Tm 2.6277 -1.9784 2.1820
Tm 5.2616 0.0000 2.1054
Tm 5.2570 0.0000 5.4553
Tm 7.8909 1.9784 5.3786
Te 2.9888 0.0000 7.5586
Te 7.5298 0.0000 0.0021
Au 5.2593 2.3745 3.7803
Au 5.2593 -2.3745 3.7803
```


no.,uncorrected formation energy (eV per formula unit),M_tot (Bohr magnetons per cell)
1,-4.319,0.0
2,-3.467,0.0
3,-13.103,0.0
4,-4.525,0.0